No. 1
# Tm2PaSe5

Crystalline Tm2PaSe5 at its relaxed geometry (PBE, Alexandria).

a b c (Å): 8.946 8.070 5.514
angles (deg): 79.96 62.67 37.37
Positions (direct):
Tm: 0.182 0.182 0.818
Tm: 0.818 0.818 0.182
Pa: 0.500 0.500 0.500
Se: 0.000 0.000 0.000
Se: 0.180 0.510 0.490
Se: 0.490 0.820 0.180
Se: 0.510 0.180 0.820
Se: 0.820 0.490 0.510

Properties
Magnetic moment ... 0.406 μB/f.u.
Formation energy (no corrections) ... -10.9 eV/f.u.
DFT total energy ... -5.85 eV/atom

No. 2
# Tm2Pa2Se5

Crystalline Tm2Pa2Se5 at its relaxed geometry (PBE, Alexandria).

a b c (Å): 4.000 4.000 19.315
angles (deg): 90.00 90.00 120.00
Positions (direct):
Tm: 0.333 0.667 0.087
Tm: 0.667 0.333 0.913
Pa: 0.333 0.667 0.682
Pa: 0.667 0.333 0.318
Se: 0.000 0.000 0.000
Se: 0.333 0.667 0.402
Se: 0.333 0.667 0.832
Se: 0.667 0.333 0.168
Se: 0.667 0.333 0.598

Properties
Magnetic moment ... 4.720 μB/f.u.
Formation energy (no corrections) ... -10.9 eV/f.u.
DFT total energy ... -6.25 eV/atom

No. 3
# TmPaSe2

Crystalline TmPaSe2 at its relaxed geometry (PBE, Alexandria).

a b c (Å): 7.989 7.989 7.989
angles (deg): 27.09 27.09 27.09
Positions (direct):
Tm: 0.000 0.000 0.000
Pa: 0.170 0.170 0.170
Se: 0.588 0.588 0.588
Se: 0.749 0.749 0.749

Properties
Magnetic moment ... 0.002 μB/f.u.
Formation energy (no corrections) ... -5.5 eV/f.u.
E above lowest polymorph ... 59 meV/atom
DFT total energy ... -6.61 eV/atom

No. 4
# Tm3PaSe6

Crystalline Tm3PaSe6 at its relaxed geometry (PBE, Alexandria).

a b c (Å): 11.454 4.025 11.729
angles (deg): 90.00 108.42 90.00
Positions (direct):
Tm: 0.069 0.250 0.165
Tm: 0.179 0.750 0.500
Tm: 0.343 0.250 0.919
Tm: 0.657 0.750 0.081
Tm: 0.821 0.250 0.500
Tm: 0.931 0.750 0.835
Pa: 0.453 0.250 0.303
Pa: 0.547 0.750 0.697
Se: 0.019 0.250 0.382
Se: 0.105 0.250 0.935
Se: 0.245 0.750 0.276
Se: 0.306 0.750 0.748
Se: 0.385 0.250 0.535
Se: 0.416 0.750 0.098
Se: 0.584 0.250 0.902
Se: 0.615 0.750 0.465
Se: 0.694 0.250 0.252
Se: 0.755 0.250 0.724
Se: 0.895 0.750 0.065
Se: 0.981 0.750 0.618

Properties
Magnetic moment ... 1.500 μB/f.u.
Formation energy (no corrections) ... -17.0 eV/f.u.
DFT total energy ... -6.09 eV/atom

No. 5
# TmPaSe2

Crystalline TmPaSe2 at its relaxed geometry (PBE, Alexandria).

a b c (Å): 9.322 9.322 9.322
angles (deg): 23.94 23.94 23.94
Positions (direct):
Tm: 0.000 0.000 0.000
Pa: 0.500 0.500 0.500
Se: 0.395 0.395 0.395
Se: 0.605 0.605 0.605

Properties
Magnetic moment ... 2.293 μB/f.u.
Formation energy (no corrections) ... -3.8 eV/f.u.
E above lowest polymorph ... 492 meV/atom
DFT total energy ... -6.18 eV/atom

No. 6
# TmPa6Se12

Crystalline TmPa6Se12 at its relaxed geometry (PBE, Alexandria).

a b c (Å): 8.272 8.272 8.272
angles (deg): 100.21 100.21 100.21
Positions (direct):
Tm: 0.000 0.000 0.000
Pa: 0.134 0.632 0.309
Pa: 0.309 0.134 0.632
Pa: 0.368 0.691 0.866
Pa: 0.632 0.309 0.134
Pa: 0.691 0.866 0.368
Pa: 0.866 0.368 0.691
Se: 0.039 0.673 0.933
Se: 0.067 0.961 0.327
Se: 0.177 0.422 0.565
Se: 0.327 0.067 0.961
Se: 0.422 0.565 0.177
Se: 0.435 0.823 0.578
Se: 0.565 0.177 0.422
Se: 0.578 0.435 0.823
Se: 0.673 0.933 0.039
Se: 0.823 0.578 0.435
Se: 0.933 0.039 0.673
Se: 0.961 0.327 0.067

Properties
Magnetic moment ... 9.070 μB/f.u.
Formation energy (no corrections) ... -25.2 eV/f.u.
DFT total energy ... -6.76 eV/atom

No. 7
# TmPa2Se5

Crystalline TmPa2Se5 at its relaxed geometry (PBE, Alexandria).

a b c (Å): 8.560 8.560 8.560
angles (deg): 127.36 127.36 77.67
Positions (direct):
Tm: 0.250 0.250 0.000
Tm: 0.750 0.750 0.000
Pa: 0.147 0.647 0.795
Pa: 0.353 0.147 0.500
Pa: 0.647 0.853 0.500
Pa: 0.853 0.353 0.205
Se: 0.000 0.000 0.000
Se: 0.012 0.190 0.500
Se: 0.190 0.690 0.178
Se: 0.310 0.488 0.500
Se: 0.488 0.988 0.178
Se: 0.500 0.500 0.000
Se: 0.512 0.012 0.822
Se: 0.690 0.512 0.500
Se: 0.810 0.310 0.822
Se: 0.988 0.810 0.500

Properties
Magnetic moment ... 2.981 μB/f.u.
Formation energy (no corrections) ... -11.0 eV/f.u.
DFT total energy ... -6.48 eV/atom

No. 8
# Tm2PaSe3

Crystalline Tm2PaSe3 at its relaxed geometry (PBE, Alexandria).

a b c (Å): 3.912 3.912 21.057
angles (deg): 90.00 90.00 120.00
Positions (direct):
Tm: 0.333 0.667 0.085
Tm: 0.333 0.667 0.415
Tm: 0.667 0.333 0.585
Tm: 0.667 0.333 0.915
Pa: 0.000 0.000 0.250
Pa: 0.000 0.000 0.750
Se: 0.000 0.000 0.000
Se: 0.000 0.000 0.500
Se: 0.333 0.667 0.661
Se: 0.333 0.667 0.839
Se: 0.667 0.333 0.161
Se: 0.667 0.333 0.339

Properties
Magnetic moment ... 0.329 μB/f.u.
Formation energy (no corrections) ... -9.0 eV/f.u.
DFT total energy ... -6.31 eV/atom